No. 1
This record from Alexandria via LeMat-Bulk describes a relaxed NiWS2 crystal. The functional is PBE-GGA.

```
data_NiWS2
_chemical_formula_sum 'Ni2 W2 S4'
_cell_length_a 5.3383
_cell_length_b 5.3383
_cell_length_c 6.2065
_cell_angle_alpha 64.53
_cell_angle_beta 64.53
_cell_angle_gamma 90.00
_space_group_name_H-M_alt 'P 1'
_space_group_IT_number 1
loop_
_space_group_symop_operation_xyz
'x,y,z'
loop_
_atom_site_label
_atom_site_fract_x
_atom_site_fract_y
_atom_site_fract_z
Ni1 0.5000 0.5000 0.0000
Ni2 0.2500 0.7500 0.5000
S1 0.6091 0.1250 0.2500
S2 0.1409 0.6250 0.2500
S3 0.3750 0.3909 0.7500
S4 0.8750 0.8591 0.7500
W1 0.0000 0.0000 0.0000
W2 0.7500 0.2500 0.5000
```

Summary:
Raw formation energy = -0.10 eV/atom
Calculated density = 7254 kg/m3
Energy above the most stable polymorph in this dataset = 118.4 meV per atom
Crystal system = tetragonal
VASP energy = -6.847 eV per atom

No. 2
This record from Alexandria via LeMat-Bulk describes a relaxed DyY2Sc4 crystal. The functional is PBE-GGA.

```
data_DyY2Sc4
_chemical_formula_sum 'Dy1 Y2 Sc4'
_cell_length_a 3.3468
_cell_length_b 3.3312
_cell_length_c 17.5672
_cell_angle_alpha 90.00
_cell_angle_beta 95.47
_cell_angle_gamma 90.00
_space_group_name_H-M_alt 'P 1'
_space_group_IT_number 1
loop_
_space_group_symop_operation_xyz
'x,y,z'
loop_
_atom_site_label
_atom_site_fract_x
_atom_site_fract_y
_atom_site_fract_z
Dy1 0.5000 0.0000 0.0000
Y1 0.7948 0.5000 0.5897
Y2 0.2052 0.5000 0.4103
Sc1 0.9300 0.5000 0.8600
Sc2 0.6351 0.0000 0.2701
Sc3 0.0700 0.5000 0.1400
Sc4 0.3649 0.0000 0.7299
```

Summary:
Calculated density = 4430 kg/m3
Energy above the most stable polymorph in this dataset = 0.0 meV per atom
Crystal system = orthorhombic
Energy relative to the elements = 0.1060 eV per atom
VASP energy = -6.016 eV per atom

No. 3
This record from Alexandria via LeMat-Bulk describes a relaxed Ga2AgPt crystal. The functional is PBE-GGA.

```
data_Ga2AgPt
_chemical_formula_sum 'Ga2 Ag1 Pt1'
_cell_length_a 3.6440
_cell_length_b 2.8167
_cell_length_c 7.2272
_cell_angle_alpha 90.00
_cell_angle_beta 104.49
_cell_angle_gamma 90.00
_space_group_name_H-M_alt 'P 1'
_space_group_IT_number 1
loop_
_space_group_symop_operation_xyz
'x,y,z'
loop_
_atom_site_label
_atom_site_fract_x
_atom_site_fract_y
_atom_site_fract_z
Ga1 0.9261 0.5000 0.2374
Ga2 0.7506 0.0000 0.8916
Ag1 0.5345 0.0000 0.4549
Pt1 0.1672 0.5000 0.7234
```

Summary:
Calculated density = 10229 kg/m3
Energy above the most stable polymorph in this dataset = 109.9 meV per atom
Crystal system = monoclinic
Energy relative to the elements = -0.2109 eV per atom
VASP energy = -3.947 eV per atom

No. 4
This record from Alexandria via LeMat-Bulk describes a relaxed CaDy4SnS8 crystal. The functional is PBE-GGA.

```
data_CaDy4SnS8
_chemical_formula_sum 'Ca1 Dy4 Sn1 S8'
_cell_length_a 8.1229
_cell_length_b 8.1229
_cell_length_c 8.2041
_cell_angle_alpha 60.33
_cell_angle_beta 60.33
_cell_angle_gamma 60.00
_space_group_name_H-M_alt 'P 1'
_space_group_IT_number 1
loop_
_space_group_symop_operation_xyz
'x,y,z'
loop_
_atom_site_label
_atom_site_fract_x
_atom_site_fract_y
_atom_site_fract_z
Ca1 0.3762 0.3762 0.8715
Dy1 0.6232 0.6232 0.1303
Dy2 0.0022 0.4953 0.5002
Dy3 0.4953 0.0022 0.5002
Dy4 0.0022 0.0022 0.5002
Sn1 0.0055 0.0055 0.9836
S1 0.2445 0.7833 0.7278
S2 0.7833 0.2445 0.7278
S3 0.2445 0.2445 0.7278
S4 0.2399 0.2399 0.2803
S5 0.7473 0.2312 0.2742
S6 0.2312 0.7473 0.2742
S7 0.7473 0.7473 0.2742
S8 0.7574 0.7574 0.7277
```

Summary:
Raw formation energy = -1.78 eV/atom
Calculated density = 4599 kg/m3
Crystal system = trigonal
VASP energy = -5.880 eV per atom

No. 5
This record from Alexandria via LeMat-Bulk describes a relaxed Nb2ZnBi crystal. The functional is PBE-GGA.

```
data_Nb2ZnBi
_chemical_formula_sum 'Nb2 Zn1 Bi1'
_cell_length_a 4.7676
_cell_length_b 4.7676
_cell_length_c 4.7676
_cell_angle_alpha 60.00
_cell_angle_beta 60.00
_cell_angle_gamma 60.00
_space_group_name_H-M_alt 'P 1'
_space_group_IT_number 1
loop_
_space_group_symop_operation_xyz
'x,y,z'
loop_
_atom_site_label
_atom_site_fract_x
_atom_site_fract_y
_atom_site_fract_z
Zn1 0.0000 0.0000 0.0000
Nb1 0.2500 0.2500 0.2500
Nb2 0.7500 0.7500 0.7500
Bi1 0.5000 0.5000 0.5000
```

Summary:
Calculated density = 9973 kg/m3
Energy above the most stable polymorph in this dataset = 0.0 meV per atom
Crystal system = cubic
Energy relative to the elements = 0.3771 eV per atom
VASP energy = -5.947 eV per atom

No. 6
This record from Alexandria via LeMat-Bulk describes a relaxed KAlOs2 crystal. The functional is PBE-GGA.

```
data_KAlOs2
_chemical_formula_sum 'K1 Al1 Os2'
_cell_length_a 5.8288
_cell_length_b 5.8288
_cell_length_c 5.8288
_cell_angle_alpha 153.21
_cell_angle_beta 128.29
_cell_angle_gamma 59.19
_space_group_name_H-M_alt 'P 1'
_space_group_IT_number 1
loop_
_space_group_symop_operation_xyz
'x,y,z'
loop_
_atom_site_label
_atom_site_fract_x
_atom_site_fract_y
_atom_site_fract_z
K1 0.2500 0.7500 0.5000
Os1 0.9628 0.9628 0.0000
Os2 0.5372 0.5372 0.0000
Al1 0.7500 0.2500 0.5000
```

Summary:
Calculated density = 10654 kg/m3
Crystal system = orthorhombic
Energy relative to the elements = 0.8161 eV per atom
VASP energy = -6.009 eV per atom